(1)
The following is a GGA-PBE calculation of MnNiTe2 after structural relaxation, from Alexandria via LeMat-Bulk.

abc: 3.396 3.396 6.477
angles: 90.00 90.00 90.00
Element x y z (fractional)
Mn (0.000, 0.000, 0.000)
Ni (0.000, 0.000, 0.500)
Te (0.500, 0.500, 0.251)
Te (0.500, 0.500, 0.749)

Summary:
* DOS(E_F): 2.8 states/eV/f.u.
* raw formation energy: 0.268 eV/atom
* uncorrected energy: -20.16 eV per cell

---

(2)
The following is a GGA-PBE calculation of BeZn2I after structural relaxation, from Alexandria via LeMat-Bulk.

abc: 4.235 4.242 6.178
angles: 72.56 87.52 60.50
Element x y z (fractional)
Be (0.000, 0.000, 0.000)
Zn (0.315, 0.382, 0.904)
Zn (0.654, 0.702, 0.934)
I (0.035, 0.847, 0.408)

Summary:
* DOS(E_F): 0.9 states/eV/f.u.
* raw formation energy: 0.048 eV/atom
* energy above the most stable polymorph in this dataset: 0.000 eV/atom
* uncorrected energy: -7.63 eV per cell

---

(3)
The following is a GGA-PBE calculation of Nd15Y4In after structural relaxation, from Alexandria via LeMat-Bulk.

abc: 5.118 5.118 25.838
angles: 90.00 90.00 90.00
Element x y z (fractional)
Nd (0.000, 0.000, 0.000)
Nd (0.000, 0.000, 0.197)
Nd (0.000, 0.000, 0.399)
Nd (0.000, 0.000, 0.601)
Nd (0.000, 0.000, 0.803)
Nd (0.000, 0.500, 0.096)
Nd (0.000, 0.500, 0.298)
Nd (0.000, 0.500, 0.500)
Nd (0.000, 0.500, 0.702)
Nd (0.000, 0.500, 0.904)
Nd (0.500, 0.000, 0.096)
Nd (0.500, 0.000, 0.298)
Nd (0.500, 0.000, 0.500)
Nd (0.500, 0.000, 0.702)
Nd (0.500, 0.000, 0.904)
Y (0.500, 0.500, 0.198)
Y (0.500, 0.500, 0.399)
Y (0.500, 0.500, 0.601)
Y (0.500, 0.500, 0.802)
In (0.500, 0.500, 0.000)

Summary:
* DOS(E_F): 27.7 states/eV/f.u.
* uncorrected energy: -100.89 eV per cell

---

(4)
The following is a GGA-PBE calculation of NbAs2PBr after structural relaxation, from Alexandria via LeMat-Bulk.

abc: 5.085 5.085 5.065
angles: 90.00 90.00 90.00
Element x y z (fractional)
Nb (0.000, 0.000, 0.000)
As (0.000, 0.500, 0.000)
As (0.500, 0.000, 0.000)
P (0.500, 0.500, 0.500)
Br (0.000, 0.000, 0.500)

Summary:
* DOS(E_F): 3.0 states/eV/f.u.
* raw formation energy: 0.651 eV/atom
* energy above the most stable polymorph in this dataset: 0.000 eV/atom
* uncorrected energy: -23.20 eV per cell

---

(5)
The following is a GGA-PBE calculation of K3CeSm2S6 after structural relaxation, from Alexandria via LeMat-Bulk.

abc: 7.225 7.225 7.758
angles: 98.93 98.93 120.00
Element x y z (fractional)
K (0.000, 0.000, 0.000)
K (0.333, 0.667, 0.000)
K (0.667, 0.333, 0.000)
Ce (0.500, 0.500, 0.500)
Sm (0.167, 0.833, 0.500)
Sm (0.833, 0.167, 0.500)
S (0.095, 0.432, 0.294)
S (0.232, 0.232, 0.706)
S (0.432, 0.095, 0.294)
S (0.568, 0.905, 0.706)
S (0.768, 0.768, 0.294)
S (0.905, 0.568, 0.706)

Summary:
* DOS(E_F): 4.7 states/eV/f.u.
* raw formation energy: -1.839 eV/atom
* uncorrected energy: -65.50 eV per cell

---

(6)
The following is a GGA-PBE calculation of BaVCu2 after structural relaxation, from Alexandria via LeMat-Bulk.

abc: 9.411 9.411 9.411
angles: 149.66 149.66 43.44
Element x y z (fractional)
Ba (0.375, 0.625, 0.750)
Ba (0.625, 0.375, 0.250)
V (0.125, 0.875, 0.250)
V (0.875, 0.125, 0.750)
Cu (0.000, 0.000, 0.000)
Cu (0.000, 0.000, 0.500)
Cu (0.000, 0.500, 0.000)
Cu (0.500, 0.000, 0.500)

Summary:
* DOS(E_F): 6.2 states/eV/f.u.
* energy above the most stable polymorph in this dataset: 0.000 eV/atom
* uncorrected energy: -33.84 eV per cell

---

(7)
The following is a GGA-PBE calculation of LiY2CoB after structural relaxation, from Alexandria via LeMat-Bulk.

abc: 5.107 5.107 3.776
angles: 90.00 90.00 90.00
Element x y z (fractional)
Li (0.000, 0.000, 0.000)
Y (0.000, 0.500, 0.500)
Y (0.500, 0.000, 0.500)
Co (0.500, 0.500, 0.000)
B (0.500, 0.500, 0.500)

Summary:
* DOS(E_F): 3.1 states/eV/f.u.
* uncorrected energy: -29.24 eV per cell

---

(8)
The following is a GGA-PBE calculation of AlZnI after structural relaxation, from Alexandria via LeMat-Bulk.

abc: 3.701 4.041 11.591
angles: 90.00 90.00 90.00
Element x y z (fractional)
Al (0.250, 0.250, 0.162)
Al (0.750, 0.750, 0.838)
Zn (0.250, 0.750, 0.021)
Zn (0.750, 0.250, 0.979)
I (0.250, 0.750, 0.665)
I (0.750, 0.250, 0.335)

Summary:
* DOS(E_F): 0.6 states/eV/f.u.
* raw formation energy: -0.065 eV/atom
* uncorrected energy: -13.52 eV per cell

---

(9)
The following is a GGA-PBE calculation of ZnCuP4 after structural relaxation, from Alexandria via LeMat-Bulk.

abc: 5.055 5.055 5.055
angles: 60.00 60.00 60.00
Element x y z (fractional)
Zn (0.000, 0.000, 0.000)
Cu (0.750, 0.750, 0.750)
P (0.375, 0.375, 0.375)
P (0.375, 0.375, 0.875)
P (0.375, 0.875, 0.375)
P (0.875, 0.375, 0.375)

Summary:
* DOS(E_F): 1.4 states/eV/f.u.
* uncorrected energy: -23.42 eV per cell

---

(10)
The following is a GGA-PBE calculation of CaIr2Cl after structural relaxation, from Alexandria via LeMat-Bulk.

abc: 6.762 6.762 4.259
angles: 108.09 108.09 24.99
Element x y z (fractional)
Ca (0.000, 0.000, 0.000)
Ir (0.273, 0.273, 0.773)
Ir (0.727, 0.727, 0.227)
Cl (0.500, 0.500, 0.500)

Summary:
* DOS(E_F): 2.8 states/eV/f.u.
* raw formation energy: -0.268 eV/atom
* energy above the most stable polymorph in this dataset: 0.115 eV/atom
* uncorrected energy: -22.64 eV per cell

---

(11)
The following is a GGA-PBE calculation of MnVCr2 after structural relaxation, from Alexandria via LeMat-Bulk.

abc: 4.767 4.767 4.767
angles: 145.00 130.17 62.34
Element x y z (fractional)
Mn (0.000, 0.000, 0.000)
V (0.500, 0.500, 0.000)
Cr (0.249, 0.749, 0.500)
Cr (0.751, 0.251, 0.500)

Summary:
* DOS(E_F): 3.1 states/eV/f.u.
* uncorrected energy: -37.90 eV per cell

---

(12)
The following is a GGA-PBE calculation of ZrMnBe after structural relaxation, from Alexandria via LeMat-Bulk.

abc: 4.292 4.292 4.292
angles: 60.00 60.00 60.00
Element x y z (fractional)
Zr (0.000, 0.000, 0.000)
Mn (0.250, 0.250, 0.250)
Be (0.750, 0.750, 0.750)

Summary:
* DOS(E_F): 4.8 states/eV/f.u.
* energy above the most stable polymorph in this dataset: 1.201 eV/atom
* uncorrected energy: -18.34 eV per cell

---

(13)
The following is a GGA-PBE calculation of In2TePb after structural relaxation, from Alexandria via LeMat-Bulk.

abc: 8.626 8.626 8.626
angles: 28.19 28.19 28.19
Element x y z (fractional)
In (0.000, 0.000, 0.000)
In (0.176, 0.176, 0.176)
Te (0.587, 0.587, 0.587)
Pb (0.756, 0.756, 0.756)

Summary:
* DOS(E_F): 2.3 states/eV/f.u.
* raw formation energy: -0.057 eV/atom
* energy above the most stable polymorph in this dataset: 0.028 eV/atom
* uncorrected energy: -12.55 eV per cell

---

(14)
The following is a GGA-PBE calculation of Y2Be2Re after structural relaxation, from Alexandria via LeMat-Bulk.

abc: 6.607 6.607 4.129
angles: 90.00 90.00 90.00
Element x y z (fractional)
Y (0.185, 0.315, 0.000)
Y (0.315, 0.815, 0.000)
Y (0.685, 0.185, 0.000)
Y (0.815, 0.685, 0.000)
Be (0.124, 0.624, 0.500)
Be (0.376, 0.124, 0.500)
Be (0.624, 0.876, 0.500)
Be (0.876, 0.376, 0.500)
Re (0.000, 0.000, 0.500)
Re (0.500, 0.500, 0.500)

Summary:
* DOS(E_F): 5.7 states/eV/f.u.
* energy above the most stable polymorph in this dataset: 0.000 eV/atom
* uncorrected energy: -63.48 eV per cell

---

(15)
The following is a GGA-PBE calculation of CeTh2RuC2 after structural relaxation, from Alexandria via LeMat-Bulk.

abc: 5.950 11.002 3.763
angles: 90.00 90.00 90.00
Element x y z (fractional)
Ce (0.000, 0.000, 0.000)
Ce (0.500, 0.500, 0.500)
Th (0.035, 0.300, 0.500)
Th (0.465, 0.800, 0.000)
Th (0.535, 0.200, 0.000)
Th (0.965, 0.700, 0.500)
Ru (0.000, 0.500, 0.000)
Ru (0.500, 0.000, 0.500)
C (0.210, 0.884, 0.500)
C (0.290, 0.384, 0.000)
C (0.710, 0.616, 0.000)
C (0.790, 0.116, 0.500)

Summary:
* DOS(E_F): 5.3 states/eV/f.u.
* uncorrected energy: -99.49 eV per cell

---

(16)
The following is a GGA-PBE calculation of Sc2ZnPb after structural relaxation, from Alexandria via LeMat-Bulk.

abc: 6.299 6.299 6.299
angles: 104.82 104.82 119.24
Element x y z (fractional)
Sc (0.101, 0.625, 0.976)
Sc (0.375, 0.351, 0.476)
Sc (0.649, 0.125, 0.024)
Sc (0.875, 0.899, 0.524)
Zn (0.000, 0.000, 0.000)
Zn (0.750, 0.250, 0.500)
Pb (0.250, 0.750, 0.500)
Pb (0.500, 0.500, 0.000)

Summary:
* DOS(E_F): 4.0 states/eV/f.u.
* uncorrected energy: -35.72 eV per cell

---

(17)
The following is a GGA-PBE calculation of MnSnSb2Pt after structural relaxation, from Alexandria via LeMat-Bulk.

abc: 5.614 5.614 4.956
angles: 90.00 90.00 90.00
Element x y z (fractional)
Mn (0.000, 0.000, 0.000)
Sn (0.000, 0.000, 0.500)
Sb (0.000, 0.500, 0.500)
Sb (0.500, 0.000, 0.500)
Pt (0.500, 0.500, 0.000)

Summary:
* DOS(E_F): 4.3 states/eV/f.u.
* raw formation energy: 1.243 eV/atom
* uncorrected energy: -21.24 eV per cell

---

(18)
The following is a GGA-PBE calculation of Cu2SbOs after structural relaxation, from Alexandria via LeMat-Bulk.

abc: 8.740 8.740 8.740
angles: 19.29 19.29 19.29
Element x y z (fractional)
Cu (0.245, 0.245, 0.245)
Cu (0.755, 0.755, 0.755)
Sb (0.000, 0.000, 0.000)
Os (0.500, 0.500, 0.500)

Summary:
* DOS(E_F): 4.0 states/eV/f.u.
* raw formation energy: 0.625 eV/atom
* uncorrected energy: -21.04 eV per cell

---

(19)
The following is a GGA-PBE calculation of RbLaNi2 after structural relaxation, from Alexandria via LeMat-Bulk.

abc: 5.120 5.120 5.120
angles: 60.00 60.00 60.00
Element x y z (fractional)
Rb (0.000, 0.000, 0.000)
La (0.500, 0.500, 0.500)
Ni (0.250, 0.250, 0.250)
Ni (0.750, 0.750, 0.750)

Summary:
* DOS(E_F): 3.8 states/eV/f.u.
* energy above the most stable polymorph in this dataset: 0.000 eV/atom
* uncorrected energy: -15.47 eV per cell

---

(20)
The following is a GGA-PBE calculation of Sn2AsRhBr after structural relaxation, from Alexandria via LeMat-Bulk.

abc: 5.188 5.188 4.957
angles: 90.00 90.00 90.00
Element x y z (fractional)
Sn (0.000, 0.500, 0.000)
Sn (0.500, 0.000, 0.000)
As (0.000, 0.000, 0.500)
Rh (0.500, 0.500, 0.000)
Br (0.500, 0.500, 0.500)

Summary:
* DOS(E_F): 2.2 states/eV/f.u.
* raw formation energy: 0.259 eV/atom
* uncorrected energy: -20.38 eV per cell